## SrTl4Bi (PBE-GGA)

Data for an optimized crystal structure of SrTl4Bi.

Summary:
**Final energy**: -1.866 eV per atom
**E above lowest polymorph**: 0.7632 eV/atom
**E_form**: 0.64 eV/atom
**Space group**: F-43m, No. 216

Cell and atoms, written as extended XYZ:
```
6
Lattice="-4.198 -8.094 4.647 -2.283 -8.386 -5.402 5.458 -8.560 1.289" Properties=species:S:1:pos:R:3 pbc="T T T"
Tl -0.633 -15.500 0.330
Sr -0.767 -18.780 0.400
Tl -3.231 -11.425 -0.283
Bi -0.511 -12.520 0.267
Tl 0.454 -11.508 2.902
Tl 1.365 -11.647 -1.882
```


## FeTcHOs2 (PBE-GGA)

Data for an optimized crystal structure of FeTcHOs2.

Summary:
**Final energy**: -8.754 eV per atom
**Space group**: P4/mmm, No. 123

Cell and atoms, written as extended XYZ:
```
5
Lattice="-1.370 -2.103 2.931 3.182 -2.181 -0.078 1.660 2.334 2.450" Properties=species:S:1:pos:R:3 pbc="T T T"
Os -0.685 -1.051 1.466
Fe 0.830 1.167 1.225
Os 1.591 -1.091 -0.039
H 0.000 0.000 0.000
Tc 1.736 -0.975 2.652
```


## MoOs2 (PBE-GGA)

Data for an optimized crystal structure of MoOs2.

Summary:
**Final energy**: -10.361 eV per atom
**E above lowest polymorph**: 0.7548 eV/atom
**E_form**: 0.74 eV/atom
**Space group**: Fm-3m, No. 225

Cell and atoms, written as extended XYZ:
```
3
Lattice="4.205 0.000 0.000 2.102 3.641 0.000 2.102 1.214 3.433" Properties=species:S:1:pos:R:3 pbc="T T T"
Mo 0.000 0.000 0.000
Os 2.102 1.214 0.858
Os 6.307 3.641 2.575
```


## K2ScSiSe4 (PBE-GGA)

Data for an optimized crystal structure of K2ScSiSe4.

Summary:
**Final energy**: -4.470 eV per atom
**Uncorrected formation energy**: -0.98 eV per atom
**Space group**: Imma, No. 74

Cell and atoms, written as extended XYZ:
```
16
Lattice="8.324 0.015 -0.082 0.009 8.324 -0.082 -4.135 -4.138 5.977" Properties=species:S:1:pos:R:3 pbc="T T T"
K 4.162 0.007 -0.041
Sc 0.004 4.162 -0.041
Se -2.370 2.168 5.713
Se 6.567 2.032 0.099
Se 2.427 2.156 5.597
Si 2.099 2.100 2.906
Se 0.056 0.328 2.691
Sc 6.260 2.108 2.865
Se 4.141 3.872 3.122
K 4.166 4.169 -0.082
Si 4.188 -4.123 5.895
Se 1.770 2.044 0.216
K 2.094 -2.062 2.947
K -2.068 -2.069 2.988
Se 4.117 0.345 3.087
Se 0.080 3.855 2.725
```